[1]
VASP calculation (PBE) on a relaxed structure of YFePbW.

## Properties
Energy above the lowest structure with this stoichiometry ... 0.000 eV per atom
Symmetry ... F-43m

a b c (Å): 4.8043 4.8043 4.8043
angles (deg): 60.00 60.00 60.00
With the nearest neighbours (Å) after each atom.
Positions (direct):
Fe 0.7500 0.7500 0.7500  4 Pb 2.94, 4 Y 2.94
Pb 0.0000 0.0000 0.0000  4 Fe 2.94, 4 W 2.94
W 0.2500 0.2500 0.2500  4 Y 2.94, 4 Pb 2.94
Y 0.5000 0.5000 0.5000  4 W 2.94, 4 Fe 2.94

[2]
VASP calculation (PBE) on a relaxed structure of YFePbW.

## Properties
Energy above the lowest structure with this stoichiometry ... 0.025 eV per atom
Symmetry ... F-43m

a b c (Å): 4.7747 4.7747 4.7747
angles (deg): 60.00 60.00 60.00
With the nearest neighbours (Å) after each atom.
Positions (direct):
Fe 0.7500 0.7500 0.7500  4 Pb 2.92, 4 W 2.92
Pb 0.0000 0.0000 0.0000  4 Fe 2.92, 4 Y 2.92
W 0.5000 0.5000 0.5000  4 Y 2.92, 4 Fe 2.92
Y 0.2500 0.2500 0.2500  4 W 2.92, 4 Pb 2.92

[3]
VASP calculation (PBE) on a relaxed structure of ZnFePbW.

## Properties
Energy above the lowest structure with this stoichiometry ... 0.029 eV per atom
Symmetry ... F-43m

a b c (Å): 4.5473 4.5473 4.5473
angles (deg): 60.00 60.00 60.00
With the nearest neighbours (Å) after each atom.
Positions (direct):
Fe 0.7500 0.7500 0.7500  4 Pb 2.78, 4 Zn 2.78
Pb 0.0000 0.0000 0.0000  4 Fe 2.78, 4 W 2.78
W 0.2500 0.2500 0.2500  4 Zn 2.78, 4 Pb 2.78
Zn 0.5000 0.5000 0.5000  4 Fe 2.78, 4 W 2.78

Question: Number 2 is which compound?
Answer: YFePbW